YTe2RhW: optimized geometry, PBE-GGA.

Structure (POSCAR):
```
YTe2RhW
1.0
5.257 0.000 0.000
0.000 4.828 0.000
0.000 0.000 5.257
Y Rh Te W
1 1 2 1
Direct
0.500 0.500 0.500
0.000 0.500 0.000
0.500 0.000 0.000
0.000 0.000 0.500
0.000 0.000 0.000
```

Computed properties:
volume	133.4	Å³ per cell
formation energy from raw total energies	0.3162	eV per atom
density	7.85	g/cm³
SG	No. 123
DOS at the Fermi energy	0.846	states/eV per atom

=====

KLiPb3: optimized geometry, PBE-GGA.

Structure (POSCAR):
```
KLiPb3
1.0
-5.964 0.876 0.302
0.101 -1.343 5.883
0.921 5.818 1.312
Pb K Li
3 1 1
Direct
0.000 0.000 0.500
0.500 0.000 0.000
0.000 0.500 0.000
0.000 0.000 0.000
0.500 0.500 0.500
```

Computed properties:
volume	219.8	Å³ per cell
density	5.04	g/cm³
SG	No. 221
DOS at the Fermi energy	0.647	states/eV per atom
energy above the lowest structure with this stoichiometry	0.9658	eV/atom
energy relative to the elements	0.793	eV/atom